# 1
Density functional theory data (PBE) for an optimized crystal structure of Tb4TmIn.

Calculated values
The calculation puts the energy of formation from the pure elements at -0.004 eV per atom. As for the symmetry: Cmc2_1, No. 36. For the volume, the calculation gives 373.96 Å³/cell.

Cell lengths 5.552, 6.431, 10.835 Å; angles 90.00, 104.85, 90.00 degrees
Element x y z (fractional)
Tb 0.041 0.751 0.082
Tb 0.959 0.251 0.918
Tb 0.247 0.056 0.495
Tb 0.816 0.083 0.631
Tb 0.437 0.928 0.874
Tb 0.563 0.428 0.126
Tb 0.753 0.556 0.505
Tb 0.184 0.583 0.369
In 0.104 0.185 0.208
In 0.896 0.685 0.792
Tm 0.637 0.929 0.273
Tm 0.363 0.429 0.727

# 2
Density functional theory data (PBE) for an optimized crystal structure of DyHfTiN3.

Calculated values
The energy relative to the elements, uncorrected is -1.4300 eV/atom. As for the symmetry: P2_1/m, No. 11. For the volume, the calculation gives 173.38 Å³/cell.

Cell lengths 3.176, 6.620, 8.258 Å; angles 93.01, 90.00, 90.00 degrees
Element x y z (fractional)
N 0.750 0.401 0.124
N 0.250 0.848 0.574
N 0.750 0.152 0.426
N 0.250 0.139 0.850
N 0.750 0.861 0.150
N 0.250 0.599 0.876
Ti 0.250 0.155 0.572
Ti 0.750 0.845 0.428
Dy 0.750 0.860 0.811
Dy 0.250 0.140 0.189
Hf 0.250 0.639 0.128
Hf 0.750 0.361 0.872

# 3
Density functional theory data (PBE) for an optimized crystal structure of Ce2PHRh6.

Calculated values
As for the symmetry: P4/mmm, No. 123. For the volume, the calculation gives 158.59 Å³/cell. The raw total energy comes out at -71.2 eV/cell.

Cell lengths 4.389, 4.389, 8.232 Å; angles 90.00, 90.00, 90.00 degrees
Element x y z (fractional)
Rh 0.500 0.000 0.500
Rh 0.500 0.000 0.000
Rh 0.000 0.500 0.000
Rh 0.000 0.500 0.500
Rh 0.500 0.500 0.728
Rh 0.500 0.500 0.272
H 0.500 0.500 0.500
P 0.500 0.500 0.000
Ce 0.000 0.000 0.732
Ce 0.000 0.000 0.268

# 4
Density functional theory data (PBE) for an optimized crystal structure of Pm8Nd3Sm4.

Calculated values
The calculation puts the energy of formation from the pure elements at 0.316 eV per atom. As for the symmetry: C2/m, No. 12. For the volume, the calculation gives 525.14 Å³/cell.

Cell lengths 6.937, 9.371, 9.371 Å; angles 82.07, 111.80, 111.80 degrees
Element x y z (fractional)
Pm 0.752 0.752 0.752
Pm 0.000 0.703 0.297
Pm 0.500 0.752 0.248
Pm 0.500 0.248 0.752
Pm 0.248 0.248 0.248
Pm 0.798 0.297 0.297
Pm 0.000 0.297 0.703
Pm 0.202 0.703 0.703
Sm 0.000 0.000 0.000
Sm 0.000 0.500 0.000
Sm 0.000 0.000 0.500
Sm 0.500 0.000 0.000
Nd 0.500 0.000 0.500
Nd 0.500 0.500 0.500
Nd 0.500 0.500 0.000

# 5
Density functional theory data (PBE) for an optimized crystal structure of MgTi2B2.

Calculated values
The calculation puts the energy of formation from the pure elements at -0.433 eV per atom. As for the symmetry: P4/mbm, No. 127. For the volume, the calculation gives 119.22 Å³/cell.

Cell lengths 6.074, 6.074, 3.231 Å; angles 90.00, 90.00, 90.00 degrees
Element x y z (fractional)
Ti 0.323 0.177 0.500
Ti 0.177 0.677 0.500
Ti 0.823 0.323 0.500
Ti 0.677 0.823 0.500
B 0.399 0.899 0.000
B 0.601 0.101 0.000
B 0.101 0.399 0.000
B 0.899 0.601 0.000
Mg 0.000 0.000 0.000
Mg 0.500 0.500 0.000

# 6
Density functional theory data (PBE) for an optimized crystal structure of ZnAsSCl2.

Calculated values
The energy relative to the elements, uncorrected is 0.0539 eV/atom. As for the symmetry: P4/mmm, No. 123. For the volume, the calculation gives 121.33 Å³/cell.

Cell lengths 4.953, 4.953, 4.946 Å; angles 90.00, 90.00, 90.00 degrees
Element x y z (fractional)
S 0.000 0.000 0.500
Zn 0.500 0.500 0.500
Cl 0.000 0.500 0.000
Cl 0.500 0.000 0.000
As 0.000 0.000 0.000

# 7
Density functional theory data (PBE) for an optimized crystal structure of BaBe2Hg.

Calculated values
The calculation puts the energy of formation from the pure elements at 0.379 eV per atom. As for the symmetry: Imm2, No. 44. For the volume, the calculation gives 100.87 Å³/cell.

Cell lengths 5.417, 5.417, 5.417 Å; angles 134.08, 113.04, 85.00 degrees
Element x y z (fractional)
Ba 0.230 0.730 0.500
Be 0.832 0.332 0.500
Be 0.876 0.876 0.000
Hg 0.562 0.562 0.000

# 8
Density functional theory data (PBE) for an optimized crystal structure of AgBP.

Calculated values
The calculation puts the energy of formation from the pure elements at 0.286 eV per atom. As for the symmetry: P-1, No. 2. For the volume, the calculation gives 92.12 Å³/cell.

Cell lengths 5.774, 3.178, 6.938 Å; angles 105.13, 131.33, 77.42 degrees
Element x y z (fractional)
P 0.395 0.241 0.753
P 0.605 0.759 0.247
B 0.315 0.837 0.862
B 0.685 0.163 0.138
Ag 0.164 0.998 0.265
Ag 0.836 0.002 0.735

# 9
Density functional theory data (PBE) for an optimized crystal structure of BeAsBr2Cl.

Calculated values
The energy relative to the elements, uncorrected is 1.1474 eV/atom. As for the symmetry: P4/mmm, No. 123. For the volume, the calculation gives 140.51 Å³/cell.

Cell lengths 5.173, 5.173, 5.251 Å; angles 90.00, 90.00, 90.00 degrees
Element x y z (fractional)
Br 0.000 0.500 0.000
Br 0.500 0.000 0.000
Cl 0.000 0.000 0.000
Be 0.500 0.500 0.500
As 0.000 0.000 0.500

# 10
Density functional theory data (PBE) for an optimized crystal structure of ReTc2Ir.

Calculated values
The calculation puts the energy of formation from the pure elements at 0.357 eV per atom. As for the symmetry: R3m, No. 160. For the volume, the calculation gives 62.44 Å³/cell.

Cell lengths 4.315, 4.315, 4.604 Å; angles 62.06, 62.06, 60.00 degrees
Element x y z (fractional)
Tc 0.036 0.036 0.892
Tc 0.260 0.260 0.221
Ir 0.713 0.713 0.861
Re 0.491 0.491 0.526